(1)
# Ac5Ag4Hg | the Alexandria database | PBE | optimized geometry
# Calculated formation energy, eV per atom: -0.31
# Spin magnetization, μB per atom: 0.000
# Total DFT energy (no corrections), eV per cell: -35.319
data_Ac5Ag4Hg
_chemical_formula_sum 'Ac5 Ag4 Hg1'
_space_group_name_H-M_alt 'P 4/m m m'
_space_group_IT_number 123
_space_group_name_Hall '-P 4 2'
_cell_length_a 3.9752
_cell_length_b 3.9752
_cell_length_c 19.9727
_cell_angle_alpha 90.00
_cell_angle_beta 90.00
_cell_angle_gamma 90.00
loop_
_atom_site_label
_atom_site_type_symbol
_atom_site_fract_x
_atom_site_fract_y
_atom_site_fract_z
Ac1 Ac 0.0000 0.0000 0.0000
Ac2 Ac 0.0000 0.0000 0.1987
Ac3 Ac 0.0000 0.0000 0.3968
Ag1 Ag 0.5000 0.5000 0.0987
Ag2 Ag 0.5000 0.5000 0.2966
Hg1 Hg 0.5000 0.5000 0.5000

(2)
# Ac2Ag4Hg5 | the Alexandria database | PBE | optimized geometry
# Calculated formation energy, eV per atom: -0.20
# Spin magnetization, μB per atom: 0.000
# Total DFT energy (no corrections), eV per cell: -46.694
data_Ac2Ag4Hg5
_chemical_formula_sum 'Ac4 Ag8 Hg10'
_space_group_name_H-M_alt 'I m m m'
_space_group_IT_number 71
_space_group_name_Hall '-I 2 2'
_cell_length_a 6.0091
_cell_length_b 9.4328
_cell_length_c 9.8520
_cell_angle_alpha 90.00
_cell_angle_beta 90.00
_cell_angle_gamma 90.00
loop_
_atom_site_label
_atom_site_type_symbol
_atom_site_fract_x
_atom_site_fract_y
_atom_site_fract_z
Ac1 Ac 0.0000 0.0000 0.2232
Ag1 Ag 0.0000 0.3398 0.2533
Hg1 Hg 0.0000 0.5000 0.5000
Hg2 Hg 0.2492 0.1864 0.5000

(3)
# AcAg3Hg | the Alexandria database | PBE | optimized geometry
# Calculated formation energy, eV per atom: -0.12
# Spin magnetization, μB per atom: 0.000
# Total DFT energy (no corrections), eV per cell: -27.083
data_AcAg3Hg
_chemical_formula_sum 'Ac2 Ag6 Hg2'
_space_group_name_H-M_alt 'P 63/m m c'
_space_group_IT_number 194
_space_group_name_Hall '-P 6c 2c'
_cell_length_a 7.0390
_cell_length_b 7.0390
_cell_length_c 5.9555
_cell_angle_alpha 90.00
_cell_angle_beta 90.00
_cell_angle_gamma 120.00
loop_
_atom_site_label
_atom_site_type_symbol
_atom_site_fract_x
_atom_site_fract_y
_atom_site_fract_z
Ac1 Ac 0.3333 0.6667 0.2500
Ag1 Ag 0.2010 0.4020 0.7500
Hg1 Hg 0.0000 0.0000 0.0000

(4)
# Ac2AgHg5 | the Alexandria database | PBE | optimized geometry
# Calculated formation energy, eV per atom: -0.29
# Spin magnetization, μB per atom: 0.000
# Total DFT energy (no corrections), eV per cell: -29.732
data_Ac2AgHg5
_chemical_formula_sum 'Ac4 Ag2 Hg10'
_space_group_name_H-M_alt 'C 1 m 1'
_space_group_IT_number 8
_space_group_name_Hall 'C -2y'
_cell_length_a 9.5692
_cell_length_b 9.5713
_cell_length_c 6.9384
_cell_angle_alpha 90.00
_cell_angle_beta 133.58
_cell_angle_gamma 90.00
loop_
_atom_site_label
_atom_site_type_symbol
_atom_site_fract_x
_atom_site_fract_y
_atom_site_fract_z
Ac1 Ac 0.0000 0.2503 0.0000
Ag1 Ag 0.1876 0.0000 0.8756
Hg1 Hg 0.0001 0.2633 0.5000
Hg2 Hg 0.2366 0.5000 0.5008
Hg3 Hg 0.2637 0.0000 0.4994
Hg4 Hg 0.2820 0.5000 0.0632

(5)
# Ac3Ag4Hg | the Alexandria database | PBE | optimized geometry
# Calculated formation energy, eV per atom: -0.16
# Spin magnetization, μB per atom: 0.000
# Total DFT energy (no corrections), eV per cell: -50.576
data_Ac3Ag4Hg
_chemical_formula_sum 'Ac6 Ag8 Hg2'
_space_group_name_H-M_alt 'I m m m'
_space_group_IT_number 71
_space_group_name_Hall '-I 2 2'
_cell_length_a 4.4411
_cell_length_b 7.4422
_cell_length_c 15.3107
_cell_angle_alpha 90.00
_cell_angle_beta 90.00
_cell_angle_gamma 90.00
loop_
_atom_site_label
_atom_site_type_symbol
_atom_site_fract_x
_atom_site_fract_y
_atom_site_fract_z
Ac1 Ac 0.0000 0.0000 0.0000
Ac2 Ac 0.0000 0.5000 0.1796
Ag1 Ag 0.0000 0.3080 0.3709
Hg1 Hg 0.0000 0.0000 0.5000

(6)
# AcAgHg | the Alexandria database | PBE | optimized geometry
# Calculated formation energy, eV per atom: -0.41
# Spin magnetization, μB per atom: 0.000
# Total DFT energy (no corrections), eV per cell: -8.485
data_AcAgHg
_chemical_formula_sum 'Ac1 Ag1 Hg1'
_space_group_name_H-M_alt 'P -6 m 2'
_space_group_IT_number 187
_space_group_name_Hall 'P -6 2'
_cell_length_a 5.0017
_cell_length_b 5.0017
_cell_length_c 3.9200
_cell_angle_alpha 90.00
_cell_angle_beta 90.00
_cell_angle_gamma 120.00
loop_
_atom_site_label
_atom_site_type_symbol
_atom_site_fract_x
_atom_site_fract_y
_atom_site_fract_z
Ac1 Ac 0.0000 0.0000 0.0000
Ag1 Ag 0.3333 0.6667 0.5000
Hg1 Hg 0.6667 0.3333 0.5000

> Among the records above, which one has the highest total DFT energy (no corrections)?

AcAgHg